Entry 1:
First-principles (PBEsol) data for crystalline LiCrSe2 at its relaxed geometry, as listed in Alexandria via LeMat-Bulk.

POSCAR file:
```
LiCrSe2
1.0
6.419 0.000 0.000
0.000 6.419 0.000
0.000 0.000 6.419
Li Cr Se
4 4 8
Cartesian
0.000 0.000 0.000 Li
0.000 3.210 3.210 Li
3.210 0.000 3.210 Li
3.210 3.210 0.000 Li
0.000 0.000 3.210 Cr
0.000 3.210 0.000 Cr
3.210 0.000 0.000 Cr
3.210 3.210 3.210 Cr
1.605 1.605 1.605 Se
1.605 1.605 4.815 Se
1.605 4.815 1.605 Se
1.605 4.815 4.815 Se
4.815 1.605 1.605 Se
4.815 1.605 4.815 Se
4.815 4.815 1.605 Se
4.815 4.815 4.815 Se
```

Summary:
V = 16.5 Å³ per atom
uncorrected energy = -5.35 eV/atom
E_form (uncorrected) = -370 meV/atom
space-group type = Fm-3m

---

Entry 2:
First-principles (PBEsol) data for crystalline GeBi3C at its relaxed geometry, as listed in Alexandria via LeMat-Bulk.

POSCAR file:
```
GeBi3C
1.0
4.953 0.000 0.000
0.000 4.953 0.000
0.000 0.000 4.953
Ge Bi C
1 3 1
Cartesian
0.000 0.000 0.000 Ge
0.000 2.477 2.477 Bi
2.477 0.000 2.477 Bi
2.477 2.477 0.000 Bi
2.477 2.477 2.477 C
```

Summary:
energy relative to the elements = 963.9 meV per atom
V = 24.3 Å³ per atom
uncorrected energy = -4.52 eV/atom
space-group type = Pm-3m

---

Entry 3:
First-principles (PBEsol) data for crystalline MnZnSiO5 at its relaxed geometry, as listed in Alexandria via LeMat-Bulk.

POSCAR file:
```
MnZnSiO5
1.0
5.116 0.000 0.000
-1.147 5.181 0.000
-1.962 -2.416 6.201
Mn Zn Si O
2 2 2 10
Cartesian
0.000 0.000 0.000 Mn
-0.981 -1.208 3.101 Mn
0.210 2.838 1.670 Zn
1.797 -0.073 4.531 Zn
-0.650 1.584 4.745 Si
2.657 1.181 1.456 Si
-2.136 1.294 5.411 O
-1.002 4.348 1.661 O
-0.786 2.725 3.569 O
-0.057 0.185 4.070 O
1.573 0.906 0.289 O
0.435 1.859 5.912 O
2.065 2.579 2.131 O
2.793 0.040 2.632 O
3.009 -1.583 4.540 O
4.143 1.471 0.790 O
```

Summary:
V = 10.3 Å³ per atom
uncorrected energy = -7.39 eV/atom
E_form (uncorrected) = -1971 meV/atom
space-group type = P-1

---

Entry 4:
First-principles (PBEsol) data for crystalline InHgBr at its relaxed geometry, as listed in Alexandria via LeMat-Bulk.

POSCAR file:
```
InHgBr
1.0
3.763 0.000 0.000
0.000 3.763 0.000
0.000 0.000 11.841
In Hg Br
2 2 2
Cartesian
0.000 0.000 0.000 In
1.882 1.882 5.920 In
0.000 0.000 7.926 Hg
1.882 1.882 2.005 Hg
0.000 0.000 4.242 Br
1.882 1.882 10.163 Br
```

Summary:
V = 27.9 Å³ per atom
uncorrected energy = -2.12 eV/atom
E_form (uncorrected) = -314 meV/atom
distance to the lowest polymorph of the same formula = 0.015 eV/atom
space-group type = I4mm

---

Entry 5:
First-principles (PBEsol) data for crystalline Sr2ReTe at its relaxed geometry, as listed in Alexandria via LeMat-Bulk.

POSCAR file:
```
Sr2ReTe
1.0
7.288 0.000 0.000
0.000 7.288 0.000
0.000 0.000 7.288
Sr Re Te
8 4 4
Cartesian
0.000 0.000 0.000 Sr
0.000 3.644 3.644 Sr
1.822 1.822 1.822 Sr
1.822 5.466 5.466 Sr
3.644 0.000 3.644 Sr
3.644 3.644 0.000 Sr
5.466 1.822 5.466 Sr
5.466 5.466 1.822 Sr
1.822 1.822 5.466 Re
1.822 5.466 1.822 Re
5.466 1.822 1.822 Re
5.466 5.466 5.466 Re
0.000 0.000 3.644 Te
0.000 3.644 0.000 Te
3.644 0.000 0.000 Te
3.644 3.644 3.644 Te
```

Summary:
V = 24.2 Å³ per atom
uncorrected energy = -4.56 eV/atom
E_form (uncorrected) = 577 meV/atom
distance to the lowest polymorph of the same formula = 0.389 eV/atom
space-group type = F-43m

---

Entry 6:
First-principles (PBEsol) data for crystalline BaSb2 at its relaxed geometry, as listed in Alexandria via LeMat-Bulk.

POSCAR file:
```
BaSb2
1.0
5.188 0.000 0.000
0.000 4.386 0.000
-1.848 0.000 8.961
Ba Sb
2 4
Cartesian
0.026 1.096 1.886 Ba
3.315 3.289 7.075 Ba
0.745 3.289 4.700 Sb
0.724 1.096 7.982 Sb
2.617 3.289 0.979 Sb
2.595 1.096 4.260 Sb
```

Summary:
V = 34.0 Å³ per atom
uncorrected energy = -4.49 eV/atom
E_form (uncorrected) = -735 meV/atom
space-group type = P2_1/m

---

Entry 7:
First-principles (PBEsol) data for crystalline Sc4CrBr at its relaxed geometry, as listed in Alexandria via LeMat-Bulk.

POSCAR file:
```
Sc4CrBr
1.0
0.000 4.131 4.131
4.131 0.000 4.131
4.131 4.131 0.000
Sc Cr Br
4 1 1
Cartesian
1.014 1.014 1.014 Sc
3.117 3.117 1.014 Sc
3.117 1.014 3.117 Sc
1.014 3.117 3.117 Sc
6.197 6.197 6.197 Cr
4.131 4.131 4.131 Br
```

Summary:
V = 23.5 Å³ per atom
uncorrected energy = -5.81 eV/atom
E_form (uncorrected) = 614 meV/atom
space-group type = F-43m

---

Entry 8:
First-principles (PBEsol) data for crystalline LiYSe at its relaxed geometry, as listed in Alexandria via LeMat-Bulk.

POSCAR file:
```
LiYSe
1.0
6.067 0.000 0.000
0.000 6.067 0.000
0.000 0.000 6.067
Li Y Se
4 4 4
Cartesian
0.000 0.000 0.000 Li
0.000 3.033 3.033 Li
3.033 0.000 3.033 Li
3.033 3.033 0.000 Li
1.517 1.517 4.550 Y
1.517 4.550 1.517 Y
4.550 1.517 1.517 Y
4.550 4.550 4.550 Y
1.517 1.517 1.517 Se
1.517 4.550 4.550 Se
4.550 1.517 4.550 Se
4.550 4.550 1.517 Se
```

Summary:
V = 18.6 Å³ per atom
uncorrected energy = -4.78 eV/atom
E_form (uncorrected) = -567 meV/atom
space-group type = F-43m

---

Question: Which of these has the lowest uncorrected energy?
Answer: MnZnSiO5